Record 1
ScTi5Ru6 PBE relaxed; theoretical density = 8258 kg/m3; ΔE_f = -739 meV per atom; symmetry = Immm; calculated volume = 179.10 Å³/cell
1.0
4.207 0.018 -1.228
-0.852 5.454 -2.840
-0.070 0.408 7.589
Ru Ti Sc
6 5 1
direct
0.169 0.916 0.339
0.169 0.423 0.339
0.500 0.743 0.000
0.831 0.577 0.661
0.500 0.257 0.000
0.831 0.084 0.661
0.000 0.500 0.000
0.334 0.334 0.668
0.668 0.168 0.336
0.666 0.666 0.332
0.332 0.832 0.664
0.000 0.000 0.000

Record 2
Sc2TiRu PBE relaxed; theoretical density = 4925 kg/m3; ΔE_f = 158 meV per atom; symmetry = I-42d; calculated volume = 161.05 Å³/cell
1.0
-6.448 1.716 -3.594
0.359 -6.561 -3.778
-4.512 -3.674 -1.651
Sc Ru Ti
4 2 2
direct
0.375 0.325 0.750
0.675 0.125 0.250
0.875 0.925 0.750
0.075 0.625 0.250
0.000 0.000 0.000
0.750 0.250 0.500
0.500 0.500 0.000
0.250 0.750 0.500

Record 3
ScTi2Ru2 PBE relaxed; theoretical density = 6823 kg/m3; ΔE_f = -406 meV per atom; symmetry = P4/mbm; calculated volume = 166.86 Å³/cell
1.0
-4.798 -0.777 -5.584
-3.378 -5.474 3.665
-1.856 2.025 1.313
Sc Ru Ti
2 4 4
direct
0.000 0.000 0.000
0.500 0.500 0.000
0.852 0.648 0.000
0.648 0.148 0.000
0.352 0.852 0.000
0.148 0.352 0.000
0.647 0.853 0.500
0.353 0.147 0.500
0.147 0.647 0.500
0.853 0.353 0.500

Record 4
ScTi2Ru PBE relaxed; theoretical density = 5801 kg/m3; ΔE_f = -373 meV per atom; symmetry = Immm; calculated volume = 69.21 Å³/cell
1.0
3.011 0.000 -0.937
-0.596 4.204 -1.914
0.056 -0.073 5.486
Ti Sc Ru
2 1 1
direct
0.217 0.217 0.433
0.783 0.783 0.567
0.000 0.500 0.000
0.500 0.000 0.000